VASP calculation (PBE+U) on a relaxed structure of SrCrAs2O8.

Values from the calculation:
mass density: 4.243 g/cm3
DOS at the Fermi energy: 7.32 states/eV/cell
DFT total energy: -6.33 eV per atom
total moment: 0.16 μB/atom

a b c (Å): 4.894 4.894 8.369
angles (deg): 73.00 73.00 60.00
Element x y z (fractional)
O 0.248 0.870 0.334
O 0.870 0.548 0.334
O 0.452 0.130 0.666
O 0.314 0.314 0.059
O 0.686 0.686 0.941
O 0.548 0.248 0.334
O 0.752 0.452 0.666
O 0.130 0.752 0.666
Sr 0.000 0.000 0.000
Cr 0.500 0.500 0.500
As 0.758 0.758 0.725
As 0.242 0.242 0.275